# CrBiWO6 | the Alexandria database | PBE+U | relaxed
data_CrBiWO6
_space_group_name_H-M_alt 'P 42 n m'
_space_group_IT_number 102
_cell_length_a 4.903
_cell_length_b 4.903
_cell_length_c 9.693
_cell_angle_alpha 90.00
_cell_angle_beta 90.00
_cell_angle_gamma 90.00
loop_
_space_group_symop_operation_xyz
'x,y,z'
'-y+1/2,x+1/2,z+1/2'
'-x,-y,z'
'y+1/2,-x+1/2,z+1/2'
'-x+1/2,y+1/2,z+1/2'
'y,x,z'
'x+1/2,-y+1/2,z+1/2'
'-y,-x,z'
loop_
_atom_site_label
_atom_site_fract_x
_atom_site_fract_y
_atom_site_fract_z
Cr1 0.000 0.000 0.000
Bi1 0.000 0.000 0.328
W1 0.000 0.000 0.664
O1 0.170 0.170 0.830
O2 0.206 0.206 0.531
O3 0.215 0.215 0.150
# - Mass density: 7.71 g/cm3
# - Excess energy over the best structure of this formula in the dataset: 0.0000 eV/atom
# - Calculated volume: 12.9 Å³/atom
# - Electronic total energy: -7.111 eV/atom